The following is a GGA-PBE calculation of a relaxed SrCa2TlPt crystal, from Alexandria via LeMat-Bulk.

CIF file:
```
data_SrCa2TlPt
_space_group_name_H-M_alt 'P 4/m m m'
_space_group_IT_number 123
_space_group_name_Hall '-P 4 2'
_cell_length_a 5.557
_cell_length_b 5.557
_cell_length_c 5.861
_cell_angle_alpha 90.00
_cell_angle_beta 90.00
_cell_angle_gamma 90.00
loop_
_atom_site_label
_atom_site_fract_x
_atom_site_fract_y
_atom_site_fract_z
_atom_site_occupancy
Sr1 0.000 0.000 0.000 1
Ca1 0.000 0.500 0.500 1
Tl1 0.500 0.500 0.000 1
Pt1 0.000 0.000 0.500 1
```

- Relative energy among the computed polymorphs: 0.000 eV/atom
- Formation enthalpy at 0 K: -495 meV per atom